This record from Alexandria describes crystalline HoNbI2 at its relaxed geometry. The functional is GGA-PBE.

Summary:
Its space group is R-3m, No. 166.

Cell: 3.5823 3.5823 10.3247 Å, 80.01 80.01 60.00°
Atoms (fractional coordinates):
I 0.0917 0.0917 0.7250
I 0.9083 0.9083 0.2750
Nb 0.0000 0.0000 0.0000
Ho 0.5000 0.5000 0.5000


This record from Alexandria describes crystalline HoNbIO4 at its relaxed geometry. The functional is GGA-PBE.

Summary:
Its space group is C2/m, No. 12.

Cell: 7.0987 7.0987 6.9373 Å, 76.42 76.42 54.00°
Atoms (fractional coordinates):
Ho 0.2923 0.2923 0.8414
Ho 0.7077 0.7077 0.1586
Nb 0.6222 0.6222 0.7562
Nb 0.3778 0.3778 0.2438
I 0.0331 0.0331 0.3003
I 0.9669 0.9669 0.6997
O 0.3194 0.3194 0.5178
O 0.6806 0.6806 0.4822
O 0.0957 0.5408 0.1221
O 0.5295 0.5295 0.1902
O 0.4592 0.9043 0.8779
O 0.5408 0.0957 0.1221
O 0.4705 0.4705 0.8098
O 0.9043 0.4592 0.8779


This record from Alexandria describes crystalline Nd2HoI at its relaxed geometry. The functional is GGA-PBE.

Summary:
The calculation puts the polymorph energy (0 for the lowest one) at 0 meV/atom. Its space group is R3m, No. 160.

Cell: 3.8311 3.8311 10.9251 Å, 79.90 79.90 60.00°
Atoms (fractional coordinates):
Nd 0.0797 0.0797 0.7610
Nd 0.2539 0.2539 0.2383
Ho 0.4998 0.4998 0.5005
I 0.6666 0.6666 0.0002


This record from Alexandria describes crystalline NdHoI4 at its relaxed geometry. The functional is GGA-PBE.

Summary:
Its space group is P2/m, No. 10.

Cell: 4.1688 7.2753 8.4376 Å, 106.00 90.00 90.00°
Atoms (fractional coordinates):
Nd 0.0000 0.5000 0.5000
Ho 0.5000 0.0000 0.5000
I 0.0000 0.2343 0.7413
I 0.0000 0.7657 0.2587
I 0.5000 0.7589 0.7495
I 0.5000 0.2411 0.2505


This record from Alexandria describes crystalline NdHoI4 at its relaxed geometry. The functional is GGA-PBE.

Summary:
Its space group is C2/m, No. 12.

Cell: 4.1695 9.0843 7.2720 Å, 113.70 90.00 103.27°
Atoms (fractional coordinates):
Nd 0.5000 0.0000 0.5000
Ho 0.0000 0.0000 0.0000
I 0.3783 0.7567 0.0350
I 0.1257 0.2513 0.4471
I 0.6217 0.2433 0.9650
I 0.8743 0.7487 0.5529


This record from Alexandria describes crystalline Nd2HoI at its relaxed geometry. The functional is GGA-PBE.

Summary:
The calculation puts the polymorph energy (0 for the lowest one) at 47 meV/atom. Its space group is P4/mmm, No. 123.

Cell: 3.7038 3.7038 9.7038 Å, 90.00 90.00 90.00°
Atoms (fractional coordinates):
I 0.5000 0.5000 0.5000
Nd 0.0000 0.0000 0.7427
Nd 0.0000 0.0000 0.2573
Ho 0.5000 0.5000 0.0000


| no. | E_tot (eV per cell) | uncorrected formation energy (meV per atom) |
| --- | --- | --- |
| 1 | -17.3 | 110 |
| 2 | -107.0 | -2495 |
| 3 | -17.2 | -389 |
| 4 | -23.0 | -1236 |
| 5 | -23.0 | -1235 |
| 6 | -17.0 | -343 |